# 1
A plane-wave DFT calculation with PBE-GGA was carried out for a relaxed BaNa2Nd2Si4CO15 crystal.

Cell and atoms, written as CIF:
```
data_BaNa2Nd2Si4CO15
_chemical_formula_sum 'Ba4 Na8 Nd8 Si16 C4 O60'
_symmetry_space_group_name_H-M 'P 1'
_symmetry_Int_Tables_number 1
_cell_length_a 14.013
_cell_length_b 13.451
_cell_length_c 6.928
_cell_angle_alpha 90.00
_cell_angle_beta 90.00
_cell_angle_gamma 90.00
loop_
_symmetry_equiv_pos_as_xyz
'x,y,z'
loop_
_atom_site_label
_atom_site_fract_x
_atom_site_fract_y
_atom_site_fract_z
Ba1 0.139 0.250 0.091
Ba2 0.361 0.750 0.591
Ba3 0.639 0.250 0.409
Ba4 0.861 0.750 0.909
Na1 0.031 0.038 0.230
Na2 0.031 0.462 0.230
Na3 0.469 0.538 0.730
Na4 0.469 0.962 0.730
Na5 0.531 0.038 0.270
Na6 0.531 0.462 0.270
Na7 0.969 0.538 0.770
Na8 0.969 0.962 0.770
Nd1 0.212 0.558 0.880
Nd2 0.212 0.942 0.880
Nd3 0.288 0.058 0.380
Nd4 0.288 0.442 0.380
Nd5 0.712 0.558 0.620
Nd6 0.712 0.942 0.620
Nd7 0.788 0.058 0.120
Nd8 0.788 0.442 0.120
Si1 0.074 0.137 0.619
Si2 0.074 0.363 0.619
Si3 0.150 0.634 0.382
Si4 0.150 0.866 0.382
Si5 0.350 0.134 0.882
Si6 0.350 0.366 0.882
Si7 0.426 0.637 0.119
Si8 0.426 0.863 0.119
Si9 0.574 0.137 0.881
Si10 0.574 0.363 0.881
Si11 0.650 0.634 0.118
Si12 0.650 0.866 0.118
Si13 0.850 0.134 0.618
Si14 0.850 0.366 0.618
Si15 0.926 0.637 0.381
Si16 0.926 0.863 0.381
C1 0.098 0.750 0.882
C2 0.402 0.250 0.382
C3 0.598 0.750 0.618
C4 0.902 0.250 0.118
O1 0.039 0.617 0.452
O2 0.039 0.883 0.452
O3 0.053 0.666 0.889
O4 0.053 0.834 0.889
O5 0.080 0.250 0.711
O6 0.098 0.064 0.797
O7 0.098 0.436 0.797
O8 0.135 0.126 0.422
O9 0.135 0.374 0.422
O10 0.168 0.750 0.322
O11 0.171 0.559 0.204
O12 0.171 0.941 0.204
O13 0.191 0.750 0.869
O14 0.224 0.602 0.551
O15 0.224 0.898 0.551
O16 0.276 0.102 0.051
O17 0.276 0.398 0.051
O18 0.309 0.250 0.369
O19 0.329 0.059 0.704
O20 0.329 0.441 0.704
O21 0.332 0.250 0.822
O22 0.365 0.626 0.922
O23 0.365 0.874 0.922
O24 0.402 0.564 0.297
O25 0.402 0.936 0.297
O26 0.420 0.750 0.211
O27 0.447 0.166 0.389
O28 0.447 0.334 0.389
O29 0.461 0.117 0.952
O30 0.461 0.383 0.952
O31 0.539 0.617 0.048
O32 0.539 0.883 0.048
O33 0.553 0.666 0.611
O34 0.553 0.834 0.611
O35 0.580 0.250 0.789
O36 0.598 0.064 0.703
O37 0.598 0.436 0.703
O38 0.635 0.126 0.078
O39 0.635 0.374 0.078
O40 0.668 0.750 0.178
O41 0.671 0.559 0.296
O42 0.671 0.941 0.296
O43 0.691 0.750 0.631
O44 0.724 0.602 0.949
O45 0.724 0.898 0.949
O46 0.776 0.102 0.449
O47 0.776 0.398 0.449
O48 0.809 0.250 0.131
O49 0.829 0.059 0.796
O50 0.829 0.441 0.796
O51 0.832 0.250 0.678
O52 0.865 0.626 0.578
O53 0.865 0.874 0.578
O54 0.902 0.564 0.203
O55 0.902 0.936 0.203
O56 0.920 0.750 0.289
O57 0.947 0.166 0.111
O58 0.947 0.334 0.111
O59 0.961 0.117 0.548
O60 0.961 0.383 0.548
```

Computed properties:
Total energy, eV/atom: -7.531



# 2
A plane-wave DFT calculation with PBE-GGA was carried out for a relaxed NaDyZnTe3 crystal.

Cell and atoms, written as CIF:
```
data_NaDyZnTe3
_chemical_formula_sum 'Na2 Dy2 Zn2 Te6'
_symmetry_space_group_name_H-M 'P 1'
_symmetry_Int_Tables_number 1
_cell_length_a 8.792
_cell_length_b 4.316
_cell_length_c 10.453
_cell_angle_alpha 90.00
_cell_angle_beta 105.38
_cell_angle_gamma 90.00
loop_
_symmetry_equiv_pos_as_xyz
'x,y,z'
loop_
_atom_site_label
_atom_site_fract_x
_atom_site_fract_y
_atom_site_fract_z
Na1 0.221 0.250 0.255
Na2 0.779 0.750 0.745
Dy1 0.321 0.750 0.855
Dy2 0.679 0.250 0.145
Zn1 0.081 0.250 0.603
Zn2 0.919 0.750 0.397
Te1 0.069 0.250 0.853
Te2 0.235 0.750 0.537
Te3 0.437 0.750 0.159
Te4 0.563 0.250 0.841
Te5 0.765 0.250 0.463
Te6 0.931 0.750 0.147
```

Computed properties:
Excess energy over the best structure of this formula in the dataset, meV per atom: 10
Total energy, eV/atom: -3.746



# 3
A plane-wave DFT calculation with PBE-GGA was carried out for a relaxed NaSiPd crystal.

Cell and atoms, written as CIF:
```
data_NaSiPd
_chemical_formula_sum 'Na1 Si1 Pd1'
_symmetry_space_group_name_H-M 'P 1'
_symmetry_Int_Tables_number 1
_cell_length_a 4.302
_cell_length_b 4.302
_cell_length_c 4.302
_cell_angle_alpha 60.00
_cell_angle_beta 60.00
_cell_angle_gamma 60.00
loop_
_symmetry_equiv_pos_as_xyz
'x,y,z'
loop_
_atom_site_label
_atom_site_fract_x
_atom_site_fract_y
_atom_site_fract_z
Na1 0.000 0.000 0.000
Si1 0.500 0.500 0.500
Pd1 0.250 0.250 0.250
```

Computed properties:
Total energy, eV/atom: -3.938



# 4
A plane-wave DFT calculation with PBE-GGA was carried out for a relaxed ZnCu2GeSe4 crystal.

Cell and atoms, written as CIF:
```
data_ZnCu2GeSe4
_chemical_formula_sum 'Zn1 Cu2 Ge1 Se4'
_symmetry_space_group_name_H-M 'P 1'
_symmetry_Int_Tables_number 1
_cell_length_a 6.905
_cell_length_b 6.905
_cell_length_c 6.905
_cell_angle_alpha 131.44
_cell_angle_beta 131.44
_cell_angle_gamma 71.12
loop_
_symmetry_equiv_pos_as_xyz
'x,y,z'
loop_
_atom_site_label
_atom_site_fract_x
_atom_site_fract_y
_atom_site_fract_z
Zn1 0.000 0.000 0.000
Cu1 0.500 0.500 0.000
Cu2 0.750 0.250 0.500
Ge1 0.250 0.750 0.500
Se1 0.129 0.618 0.997
Se2 0.382 0.379 0.510
Se3 0.621 0.131 0.003
Se4 0.869 0.871 0.490
```

Computed properties:
Total energy, eV/atom: -3.779



# 5
A plane-wave DFT calculation with PBE-GGA was carried out for a relaxed CdGaCoIr crystal.

Cell and atoms, written as CIF:
```
data_CdGaCoIr
_chemical_formula_sum 'Cd1 Ga1 Co1 Ir1'
_symmetry_space_group_name_H-M 'P 1'
_symmetry_Int_Tables_number 1
_cell_length_a 4.358
_cell_length_b 4.358
_cell_length_c 4.358
_cell_angle_alpha 60.00
_cell_angle_beta 60.00
_cell_angle_gamma 60.00
loop_
_symmetry_equiv_pos_as_xyz
'x,y,z'
loop_
_atom_site_label
_atom_site_fract_x
_atom_site_fract_y
_atom_site_fract_z
Cd1 0.000 0.000 0.000
Ga1 0.500 0.500 0.500
Co1 0.750 0.750 0.750
Ir1 0.250 0.250 0.250
```

Computed properties:
Excess energy over the best structure of this formula in the dataset, meV per atom: 0
Total energy, eV/atom: -4.923



# 6
A plane-wave DFT calculation with PBE-GGA was carried out for a relaxed HfBe2Cu crystal.

Cell and atoms, written as CIF:
```
data_HfBe2Cu
_chemical_formula_sum 'Hf1 Be2 Cu1'
_symmetry_space_group_name_H-M 'P 1'
_symmetry_Int_Tables_number 1
_cell_length_a 4.158
_cell_length_b 4.158
_cell_length_c 4.158
_cell_angle_alpha 60.00
_cell_angle_beta 60.00
_cell_angle_gamma 60.00
loop_
_symmetry_equiv_pos_as_xyz
'x,y,z'
loop_
_atom_site_label
_atom_site_fract_x
_atom_site_fract_y
_atom_site_fract_z
Hf1 0.000 0.000 0.000
Be1 0.250 0.250 0.250
Be2 0.500 0.500 0.500
Cu1 0.750 0.750 0.750
```

Computed properties:
Total energy, eV/atom: -5.291



# 7
A plane-wave DFT calculation with PBE-GGA was carried out for a relaxed Y3Mg3GaAu2 crystal.

Cell and atoms, written as CIF:
```
data_Y3Mg3GaAu2
_chemical_formula_sum 'Y3 Mg3 Ga1 Au2'
_symmetry_space_group_name_H-M 'P 1'
_symmetry_Int_Tables_number 1
_cell_length_a 7.687
_cell_length_b 7.687
_cell_length_c 4.038
_cell_angle_alpha 90.00
_cell_angle_beta 90.00
_cell_angle_gamma 120.00
loop_
_symmetry_equiv_pos_as_xyz
'x,y,z'
loop_
_atom_site_label
_atom_site_fract_x
_atom_site_fract_y
_atom_site_fract_z
Y1 0.000 0.590 0.000
Y2 0.410 0.410 0.000
Y3 0.590 0.000 0.000
Mg1 0.000 0.249 0.500
Mg2 0.249 0.000 0.500
Mg3 0.751 0.751 0.500
Ga1 0.000 0.000 0.000
Au1 0.333 0.667 0.500
Au2 0.667 0.333 0.500
```

Computed properties:
Total energy, eV/atom: -4.341



# 8
A plane-wave DFT calculation with PBE-GGA was carried out for a relaxed TaSiTcNi crystal.

Cell and atoms, written as CIF:
```
data_TaSiTcNi
_chemical_formula_sum 'Ta1 Si1 Tc1 Ni1'
_symmetry_space_group_name_H-M 'P 1'
_symmetry_Int_Tables_number 1
_cell_length_a 4.311
_cell_length_b 4.311
_cell_length_c 4.311
_cell_angle_alpha 60.00
_cell_angle_beta 60.00
_cell_angle_gamma 60.00
loop_
_symmetry_equiv_pos_as_xyz
'x,y,z'
loop_
_atom_site_label
_atom_site_fract_x
_atom_site_fract_y
_atom_site_fract_z
Ta1 0.000 0.000 0.000
Si1 0.250 0.250 0.250
Tc1 0.750 0.750 0.750
Ni1 0.500 0.500 0.500
```

Computed properties:
Excess energy over the best structure of this formula in the dataset, meV per atom: 307
Total energy, eV/atom: -8.289



# 9
A plane-wave DFT calculation with PBE-GGA was carried out for a relaxed Nb4B3Sb crystal.

Cell and atoms, written as CIF:
```
data_Nb4B3Sb
_chemical_formula_sum 'Nb8 B6 Sb2'
_symmetry_space_group_name_H-M 'P 1'
_symmetry_Int_Tables_number 1
_cell_length_a 3.338
_cell_length_b 3.338
_cell_length_c 23.862
_cell_angle_alpha 90.00
_cell_angle_beta 90.00
_cell_angle_gamma 120.00
loop_
_symmetry_equiv_pos_as_xyz
'x,y,z'
loop_
_atom_site_label
_atom_site_fract_x
_atom_site_fract_y
_atom_site_fract_z
Nb1 0.000 0.000 0.161
Nb2 0.000 0.000 0.339
Nb3 0.000 0.000 0.661
Nb4 0.000 0.000 0.839
Nb5 0.333 0.667 0.054
Nb6 0.333 0.667 0.446
Nb7 0.667 0.333 0.554
Nb8 0.667 0.333 0.946
B1 0.000 0.000 0.000
B2 0.000 0.000 0.500
B3 0.333 0.667 0.610
B4 0.333 0.667 0.890
B5 0.667 0.333 0.110
B6 0.667 0.333 0.390
Sb1 0.333 0.667 0.250
Sb2 0.667 0.333 0.750
```

Computed properties:
Total energy, eV/atom: -8.574